Record 1
The following is a DFT calculation (PBEsol) of a relaxed NdHg3 crystal.

abc: 4.9246 6.6671 6.6671
angles: 120.00 90.00 90.00
Last column: nearest neighbours and their distance in Å.
Atoms (fractional coordinates):
Hg 0.2500 0.8379 0.1621  8 Hg 3.09-3.43, 4 Nd 3.16-3.33
Hg 0.2500 0.3241 0.1621  8 Hg 3.09-3.43, 4 Nd 3.16-3.33
Hg 0.7500 0.1621 0.3241  8 Hg 3.09-3.43, 4 Nd 3.16-3.33
Hg 0.7500 0.1621 0.8379  8 Hg 3.09-3.43, 4 Nd 3.16-3.33
Hg 0.7500 0.6759 0.8379  8 Hg 3.09-3.43, 4 Nd 3.16-3.33
Hg 0.2500 0.8379 0.6759  8 Hg 3.09-3.43, 4 Nd 3.16-3.33
Nd 0.7500 0.6667 0.3333  12 Hg 3.16-3.33
Nd 0.2500 0.3333 0.6667  12 Hg 3.16-3.33

**Magnetization**: 0.0000 μB/atom
**Volume**: 23.70 Å³/atom
**Energy relative to the elements**: -0.495 eV/atom



Record 2
The following is a DFT calculation (PBEsol) of a relaxed Ti2ReNiB crystal.

abc: 4.3100 4.3100 4.3662
angles: 90.00 90.00 90.00
Last column: nearest neighbours and their distance in Å.
Atoms (fractional coordinates):
Re 0.0000 0.0000 0.5000  2 Ni 2.18
B 0.5000 0.5000 0.5000  4 Re 3.05, 8 Ti 3.07
Ni 0.0000 0.0000 0.0000  4 Ti 2.15, 2 Re 2.18
Ti 0.5000 0.0000 0.0000  2 Ni 2.15
Ti 0.0000 0.5000 0.0000  2 Ni 2.15

**Magnetization**: 0.0002 μB/atom
**Volume**: 16.22 Å³/atom
**Energy relative to the elements**: 1.370 eV/atom



Record 3
The following is a DFT calculation (PBEsol) of a relaxed Si2PRhBr crystal.

abc: 4.4004 4.4004 4.7568
angles: 90.00 90.00 90.00
Last column: nearest neighbours and their distance in Å.
Atoms (fractional coordinates):
Rh 0.5000 0.5000 0.5000  4 Br 3.11, 8 Si 3.24
Si 0.0000 0.5000 0.0000  2 P 2.20
Si 0.5000 0.0000 0.0000  2 P 2.20
Br 0.0000 0.0000 0.5000  2 P 2.38
P 0.0000 0.0000 0.0000  4 Si 2.20, 2 Br 2.38

**Formation energy from raw total energies**: 1.026 eV per atom
**Magnetization**: 0.0000 μB/atom
**Volume**: 18.42 Å³/atom



- Which formula does entry 3 have?
  Si2PRhBr



- Which value of magnetization does entry 1 give?
  0.0000 μB/atom



- What is the magnetization in the third record?
  0.0000 μB/atom



- Which formula does entry 1 have?
  NdHg3